# 1
This record from the Alexandria database describes crystalline TbTl2GeSe4 at its relaxed geometry. The functional is PBE.

abc: 7.264 4.092 7.902
angles: 90.00 107.91 90.00
Space group P2/m (No. 10)
Unique sites:
Tb1 0.000 0.000 0.000
Tl1 0.000 0.500 0.500
Tl2 0.500 0.000 0.500
Ge1 0.500 0.500 0.000
Se1 0.244 0.500 0.205
Se2 0.271 0.000 0.797

# 2
This record from the Alexandria database describes crystalline TbYGeSe at its relaxed geometry. The functional is PBE.

abc: 4.1396 4.1396 20.4415
angles: 90.00 90.00 120.00
Space group R3m (No. 160, hexagonal axes)
Unique sites:
Tb1 0.0000 0.0000 0.0000
Y1 0.0000 0.0000 0.4917
Ge1 0.0000 0.0000 0.7459
Se1 0.0000 0.0000 0.2456

# 3
This record from the Alexandria database describes crystalline TcGe2Se2 at its relaxed geometry. The functional is PBE.

offset from the most stable computed form = 0 meV per atom

abc: 6.760 6.760 4.158
angles: 90.00 90.00 90.00
Space group P4/mbm (No. 127)
Unique sites:
Tc1 0.000 0.000 0.000
Ge1 0.141 0.359 0.000
Se1 0.198 0.698 0.500

# 4
This record from the Alexandria database describes crystalline Tc3GeSe at its relaxed geometry. The functional is PBE.

offset from the most stable computed form = 0 meV per atom

abc: 4.569 4.569 4.569
angles: 90.00 90.00 90.00
Space group Pm-3m (No. 221)
Unique sites:
Tc1 0.000 0.000 0.500
Ge1 0.500 0.500 0.500
Se1 0.000 0.000 0.000

# 5
This record from the Alexandria database describes crystalline TcGeSe3 at its relaxed geometry. The functional is PBE.

offset from the most stable computed form = 0 meV per atom

abc: 4.898 4.898 4.898
angles: 90.00 90.00 90.00
Space group Pm-3m (No. 221)
Unique sites:
Tc1 0.000 0.000 0.000
Ge1 0.500 0.500 0.500
Se1 0.000 0.000 0.500

# 6
This record from the Alexandria database describes crystalline TcGeSe3 at its relaxed geometry. The functional is PBE.

offset from the most stable computed form = 490 meV per atom

abc: 4.979 4.979 4.979
angles: 90.00 90.00 90.00
Space group Pm-3m (No. 221)
Unique sites:
Tc1 0.000 0.000 0.000
Ge1 0.500 0.500 0.500
Se1 0.000 0.500 0.500

N(E_F) for every record listed, in sequence, given in states/eV/cell: 5.0; 3.2; 12.1; 3.7; 6.7; 3.5.
Energy relative to the elements, uncorrected for every record listed, in sequence, given in kJ/mol of atoms: -75.6; -135.5; 40.3; 111.7; 42.0; 89.2.